# Ac2Nd2Er3 PBE-GGA relaxed
data_Ac2Nd2Er3
_cell_length_a 3.8314
_cell_length_b 6.7409
_cell_length_c 10.2062
_cell_angle_alpha 93.91
_cell_angle_beta 90.00
_cell_angle_gamma 106.50
_space_group_name_H-M_alt 'P 1'
_space_group_IT_number 1
_space_group_name_Hall 'P 1'
loop_
_atom_site_label
_atom_site_fract_x
_atom_site_fract_y
_atom_site_fract_z
Ac1 0.2210 0.4433 0.1676
Ac2 0.7790 0.5567 0.8324
Nd1 0.0382 0.0758 0.7217
Nd2 0.9618 0.9242 0.2783
Er1 0.3608 0.7215 0.5320
Er2 0.5000 0.0000 0.0000
Er3 0.6392 0.2785 0.4680
# Magnetic moment (μB/cell): 0.0
# Energy (eV per atom): -4.42
# DFT formation energy (kJ/mol of formula units): 45



# Ac2Nd6Er PBE-GGA relaxed
data_Ac2Nd6Er
_cell_length_a 3.7429
_cell_length_b 3.7429
_cell_length_c 27.5466
_cell_angle_alpha 90.00
_cell_angle_beta 90.00
_cell_angle_gamma 120.00
_space_group_name_H-M_alt 'P 1'
_space_group_IT_number 1
_space_group_name_Hall 'P 1'
loop_
_atom_site_label
_atom_site_fract_x
_atom_site_fract_y
_atom_site_fract_z
Ac1 0.0000 0.0000 0.1729
Ac2 0.0000 0.0000 0.8271
Nd1 0.0000 0.0000 0.3967
Nd2 0.0000 0.0000 0.6033
Nd3 0.6667 0.3333 0.0619
Nd4 0.6667 0.3333 0.2895
Nd5 0.6667 0.3333 0.7105
Nd6 0.6667 0.3333 0.9381
Er1 0.6667 0.3333 0.5000
# Magnetic moment (μB/cell): 0.0
# Energy (eV per atom): -4.52
# DFT formation energy (kJ/mol of formula units): 69
# E above lowest polymorph (eV/f.u.): 0.00



# Ac2NdEr2 PBE-GGA relaxed
data_Ac2NdEr2
_cell_length_a 9.4919
_cell_length_b 9.4919
_cell_length_c 6.4965
_cell_angle_alpha 106.10
_cell_angle_beta 106.10
_cell_angle_gamma 41.72
_space_group_name_H-M_alt 'P 1'
_space_group_IT_number 1
_space_group_name_Hall 'P 1'
loop_
_atom_site_label
_atom_site_fract_x
_atom_site_fract_y
_atom_site_fract_z
Ac1 0.0427 0.3415 0.1941
Ac2 0.3415 0.0427 0.6941
Ac3 0.6585 0.9573 0.3059
Ac4 0.9573 0.6585 0.8059
Nd1 0.0787 0.9213 0.7500
Nd2 0.9213 0.0787 0.2500
Er1 0.2990 0.5293 0.3402
Er2 0.4707 0.7010 0.1598
Er3 0.5293 0.2990 0.8402
Er4 0.7010 0.4707 0.6598
# Magnetic moment (μB/cell): 0.0
# Energy (eV per atom): -4.33
# DFT formation energy (kJ/mol of formula units): 44



# AcNd3Er2 PBE-GGA relaxed
data_AcNd3Er2
_cell_length_a 3.5346
_cell_length_b 6.1966
_cell_length_c 19.7654
_cell_angle_alpha 90.00
_cell_angle_beta 90.00
_cell_angle_gamma 90.00
_space_group_name_H-M_alt 'P 1'
_space_group_IT_number 1
_space_group_name_Hall 'P 1'
loop_
_atom_site_label
_atom_site_fract_x
_atom_site_fract_y
_atom_site_fract_z
Ac1 0.0000 0.0000 0.0000
Ac2 0.5000 0.5000 0.5000
Nd1 0.0000 0.0000 0.1914
Nd2 0.0000 0.0000 0.8086
Nd3 0.0000 0.5000 0.0000
Nd4 0.5000 0.0000 0.5000
Nd5 0.5000 0.5000 0.3086
Nd6 0.5000 0.5000 0.6914
Er1 0.0000 0.0000 0.3612
Er2 0.0000 0.0000 0.6388
Er3 0.5000 0.5000 0.1388
Er4 0.5000 0.5000 0.8612
# Magnetic moment (μB/cell): 0.0
# Energy (eV per atom): -4.23
# DFT formation energy (kJ/mol of formula units): 209
# E above lowest polymorph (eV/f.u.): 1.92



# Ac3Nd5Er2 PBE-GGA relaxed
data_Ac3Nd5Er2
_cell_length_a 10.0495
_cell_length_b 10.0495
_cell_length_c 9.8673
_cell_angle_alpha 109.59
_cell_angle_beta 109.59
_cell_angle_gamma 109.83
_space_group_name_H-M_alt 'P 1'
_space_group_IT_number 1
_space_group_name_Hall 'P 1'
loop_
_atom_site_label
_atom_site_fract_x
_atom_site_fract_y
_atom_site_fract_z
Ac1 0.1408 0.3668 0.7570
Ac2 0.2281 0.7719 0.7500
Ac3 0.3668 0.1408 0.2570
Ac4 0.6332 0.8592 0.7430
Ac5 0.7719 0.2281 0.2500
Ac6 0.8592 0.6332 0.2430
Nd1 0.0273 0.2769 0.0527
Nd2 0.0272 0.9728 0.7500
Nd3 0.2744 0.7256 0.2500
Nd4 0.2769 0.0273 0.5527
Nd5 0.4657 0.5343 0.2500
Nd6 0.5343 0.4657 0.7500
Nd7 0.7231 0.9727 0.4473
Nd8 0.7256 0.2744 0.7500
Nd9 0.9728 0.0272 0.2500
Nd10 0.9727 0.7231 0.9473
Er1 0.2393 0.4644 0.4520
Er2 0.4644 0.2393 0.9520
Er3 0.5356 0.7607 0.0480
Er4 0.7607 0.5356 0.5480
# Magnetic moment (μB/cell): 0.0
# Energy (eV per atom): -4.36
# DFT formation energy (kJ/mol of formula units): 161



# AcNdEr PBE-GGA relaxed
data_AcNdEr
_cell_length_a 5.9208
_cell_length_b 5.9208
_cell_length_c 3.6111
_cell_angle_alpha 90.00
_cell_angle_beta 90.00
_cell_angle_gamma 120.00
_space_group_name_H-M_alt 'P 1'
_space_group_IT_number 1
_space_group_name_Hall 'P 1'
loop_
_atom_site_label
_atom_site_fract_x
_atom_site_fract_y
_atom_site_fract_z
Ac1 0.0000 0.0000 0.0000
Nd1 0.3333 0.6667 0.5000
Er1 0.6667 0.3333 0.0000
# Magnetic moment (μB/cell): 0.0
# Energy (eV per atom): -4.35
# DFT formation energy (kJ/mol of formula units): 37
# E above lowest polymorph (eV/f.u.): 0.22



# Ac4Nd2Er PBE-GGA relaxed
data_Ac4Nd2Er
_cell_length_a 12.1200
_cell_length_b 7.7051
_cell_length_c 11.2883
_cell_angle_alpha 76.74
_cell_angle_beta 38.23
_cell_angle_gamma 65.03
_space_group_name_H-M_alt 'P 1'
_space_group_IT_number 1
_space_group_name_Hall 'P 1'
loop_
_atom_site_label
_atom_site_fract_x
_atom_site_fract_y
_atom_site_fract_z
Ac1 0.0439 0.9561 0.2793
Ac2 0.0633 0.4700 0.7764
Ac3 0.4700 0.0633 0.6903
Ac4 0.4736 0.5597 0.1867
Ac5 0.5293 0.9707 0.2939
Ac6 0.5597 0.4736 0.7800
Ac7 0.9561 0.0439 0.7207
Ac8 0.9707 0.5293 0.2061
Nd1 0.1082 0.4040 0.4246
Nd2 0.1868 0.8254 0.8460
Nd3 0.4040 0.1082 0.0632
Nd4 0.8254 0.1868 0.1418
Er1 0.5138 0.5138 0.4862
Er2 0.7638 0.7638 0.7362
# Magnetic moment (μB/cell): 0.0
# Energy (eV per atom): -4.12
# DFT formation energy (kJ/mol of formula units): 165



# AcNdEr3 PBE-GGA relaxed
data_AcNdEr3
_cell_length_a 9.4328
_cell_length_b 6.4014
_cell_length_c 12.4959
_cell_angle_alpha 90.00
_cell_angle_beta 114.21
_cell_angle_gamma 90.00
_space_group_name_H-M_alt 'P 1'
_space_group_IT_number 1
_space_group_name_Hall 'P 1'
loop_
_atom_site_label
_atom_site_fract_x
_atom_site_fract_y
_atom_site_fract_z
Ac1 0.1544 0.1737 0.1021
Ac2 0.1544 0.3263 0.6021
Ac3 0.8456 0.6737 0.3979
Ac4 0.8456 0.8263 0.8979
Nd1 0.2611 0.6652 0.0015
Nd2 0.2611 0.8348 0.5015
Nd3 0.7389 0.1652 0.4985
Nd4 0.7389 0.3348 0.9985
Er1 0.0516 0.6657 0.2052
Er2 0.0516 0.8343 0.7052
Er3 0.3546 0.1625 0.9022
Er4 0.3546 0.3375 0.4022
Er5 0.4463 0.6721 0.7995
Er6 0.4463 0.8279 0.2995
Er7 0.5537 0.1721 0.7005
Er8 0.5537 0.3279 0.2005
Er9 0.6454 0.6625 0.5978
Er10 0.6454 0.8375 0.0978
Er11 0.9484 0.1657 0.2948
Er12 0.9484 0.3343 0.7948
# Magnetic moment (μB/cell): 0.0
# Energy (eV per atom): -4.47
# DFT formation energy (kJ/mol of formula units): 22



# Ac3Nd4Er2 PBE-GGA relaxed
data_Ac3Nd4Er2
_cell_length_a 9.3125
_cell_length_b 9.3125
_cell_length_c 6.9778
_cell_angle_alpha 111.49
_cell_angle_beta 111.49
_cell_angle_gamma 37.32
_space_group_name_H-M_alt 'P 1'
_space_group_IT_number 1
_space_group_name_Hall 'P 1'
loop_
_atom_site_label
_atom_site_fract_x
_atom_site_fract_y
_atom_site_fract_z
Ac1 0.0000 0.0000 0.0000
Ac2 0.1387 0.1387 0.6984
Ac3 0.8613 0.8613 0.3016
Nd1 0.2207 0.2207 0.2858
Nd2 0.4257 0.4257 0.6048
Nd3 0.5743 0.5743 0.3952
Nd4 0.7793 0.7793 0.7142
Er1 0.3654 0.3654 0.0249
Er2 0.6346 0.6346 0.9751
# Magnetic moment (μB/cell): 0.0
# Energy (eV per atom): -4.41
# DFT formation energy (kJ/mol of formula units): 83



# AcNd8Er6 PBE-GGA relaxed
data_AcNd8Er6
_cell_length_a 9.5694
_cell_length_b 9.5694
_cell_length_c 6.6496
_cell_angle_alpha 90.00
_cell_angle_beta 90.00
_cell_angle_gamma 120.00
_space_group_name_H-M_alt 'P 1'
_space_group_IT_number 1
_space_group_name_Hall 'P 1'
loop_
_atom_site_label
_atom_site_fract_x
_atom_site_fract_y
_atom_site_fract_z
Ac1 0.0000 0.0000 0.0000
Nd1 0.0169 0.3289 0.3928
Nd2 0.3120 0.9831 0.3928
Nd3 0.3289 0.3120 0.6072
Nd4 0.3333 0.6667 0.6731
Nd5 0.6667 0.3333 0.3269
Nd6 0.6711 0.6881 0.3928
Nd7 0.6881 0.0169 0.6072
Nd8 0.9831 0.6711 0.6072
Er1 0.0905 0.6753 0.1034
Er2 0.3247 0.4152 0.1034
Er3 0.4152 0.0905 0.8966
Er4 0.5848 0.9095 0.1034
Er5 0.6753 0.5848 0.8966
Er6 0.9095 0.3247 0.8966
# Magnetic moment (μB/cell): 0.0
# Energy (eV per atom): -4.44
# DFT formation energy (kJ/mol of formula units): 294



# AcNd15Er4 PBE-GGA relaxed
data_AcNd15Er4
_cell_length_a 5.1831
_cell_length_b 5.1831
_cell_length_c 25.8460
_cell_angle_alpha 90.00
_cell_angle_beta 90.00
_cell_angle_gamma 90.00
_space_group_name_H-M_alt 'P 1'
_space_group_IT_number 1
_space_group_name_Hall 'P 1'
loop_
_atom_site_label
_atom_site_fract_x
_atom_site_fract_y
_atom_site_fract_z
Ac1 0.0000 0.0000 0.0000
Nd1 0.0000 0.5000 0.1054
Nd2 0.0000 0.5000 0.3026
Nd3 0.0000 0.5000 0.5000
Nd4 0.0000 0.5000 0.6974
Nd5 0.0000 0.5000 0.8946
Nd6 0.5000 0.0000 0.1054
Nd7 0.5000 0.0000 0.3026
Nd8 0.5000 0.0000 0.5000
Nd9 0.5000 0.0000 0.6974
Nd10 0.5000 0.0000 0.8946
Nd11 0.5000 0.5000 0.0000
Nd12 0.5000 0.5000 0.2050
Nd13 0.5000 0.5000 0.4013
Nd14 0.5000 0.5000 0.5987
Nd15 0.5000 0.5000 0.7950
Er1 0.0000 0.0000 0.2038
Er2 0.0000 0.0000 0.4013
Er3 0.0000 0.0000 0.5987
Er4 0.0000 0.0000 0.7962
# Magnetic moment (μB/cell): 0.0
# Energy (eV per atom): -4.68
# DFT formation energy (kJ/mol of formula units): 36